No. 1
Cd2GaHgPd | GGA-PBE | relaxed

Computed properties:
Crystal system: tetragonal
Symmetry: P4/mmm
Energy of formation from the pure elements in eV per atom: -0.0762
Energy in eV for the cell shown: -10.7

Cell: 5.3047 5.3047 4.7711 Å, 90.00 90.00 90.00°
With the nearest neighbours (Å) after each atom.
Atoms (fractional coordinates):
Pd (0.0000, 0.0000, 0.0000)  2 Ga 2.39, 4 Cd 2.65
Hg (0.5000, 0.5000, 0.5000)  8 Cd 3.57, 4 Ga 3.75
Ga (0.0000, 0.0000, 0.5000)  2 Pd 2.39
Cd (0.5000, 0.0000, 0.0000)  2 Pd 2.65
Cd (0.0000, 0.5000, 0.0000)  2 Pd 2.65

No. 2
NaLi4Sc | GGA-PBE | relaxed

Computed properties:
Crystal system: cubic
Symmetry: F-43m
Energy of formation from the pure elements in eV per atom: 0.2062
Energy in eV for the cell shown: -14.1

Cell: 5.7797 5.7797 5.7797 Å, 60.00 60.00 60.00°
With the nearest neighbours (Å) after each atom.
Atoms (fractional coordinates):
Li (0.1278, 0.6241, 0.6241)  6 Li 2.87-2.91
Li (0.6241, 0.6241, 0.6241)  6 Li 2.87-2.91
Li (0.6241, 0.6241, 0.1278)  6 Li 2.87-2.91
Na (0.0000, 0.0000, 0.0000)  12 Li 3.39, 4 Sc 3.54
Li (0.6241, 0.1278, 0.6241)  6 Li 2.87-2.91
Sc (0.2500, 0.2500, 0.2500)  12 Li 3.39, 4 Na 3.54

No. 3
Ac2AlPtRh | GGA-PBE | relaxed

Computed properties:
Crystal system: tetragonal
Symmetry: P4/nmm
Energy of formation from the pure elements in eV per atom: -0.8636
Energy in eV for the cell shown: -59.3

Cell: 4.2826 4.2826 14.4739 Å, 90.00 90.00 90.00°
With the nearest neighbours (Å) after each atom.
Atoms (fractional coordinates):
Rh (0.5000, 0.0000, 0.1106)  6 Ac 2.90-3.08
Ac (0.5000, 0.0000, 0.3111)  1 Rh 2.90
Al (0.0000, 0.0000, 0.5000)  4 Pt 2.58
Rh (0.0000, 0.5000, 0.8894)  6 Ac 2.90-3.08
Ac (0.5000, 0.0000, 0.8975)  5 Rh 3.03-3.08
Al (0.5000, 0.5000, 0.5000)  4 Pt 2.58
Ac (0.0000, 0.5000, 0.6889)  1 Rh 2.90
Ac (0.0000, 0.5000, 0.1025)  5 Rh 3.03-3.08
Pt (0.0000, 0.5000, 0.4006)  4 Al 2.58
Pt (0.5000, 0.0000, 0.5994)  4 Al 2.58